16
Lattice="0.000 6.581 10.622 2.795 0.000 10.622 2.795 6.581 0.000" Properties=species:S:1:pos:R:3 comment="Cs2CuTeO4 GGA-PBE relaxed" m_tot_mub_per_fu=0.86 total_energy_ev_per_atom=-4.555 raw_formation_energy_ev_per_atom=-0.957 pbc="T T T"
Cs 2.096 4.936 1.000
Cs 3.494 8.226 6.311
Cs 2.096 4.936 14.932
Cs 3.494 8.226 20.243
Cu 0.699 1.645 2.655
Cu 4.891 11.516 18.588
Te 2.096 4.936 7.966
Te 3.494 8.226 13.277
O 3.359 3.803 6.996
O 3.359 6.068 8.937
O 4.756 7.093 14.247
O 4.756 9.359 12.307
O 0.833 3.803 8.937
O 0.833 6.068 6.996
O 2.231 7.093 12.307
O 2.231 9.359 14.247

---

12
Lattice="4.528 -2.904 0.000 4.528 2.904 0.000 -0.623 0.000 8.761" Properties=species:S:1:pos:R:3 comment="RbSbSe2O8 GGA-PBE relaxed" m_tot_mub_per_fu=0.00 total_energy_ev_per_atom=-5.292 raw_formation_energy_ev_per_atom=-0.981 pbc="T T T"
Rb 0.000 0.000 0.000
Sb -0.311 0.000 4.380
Se 2.922 0.000 6.230
Se 5.511 0.000 2.531
O 3.909 1.377 6.076
O 1.863 0.000 4.914
O 4.524 1.377 2.685
O 2.209 0.000 7.710
O 6.224 0.000 1.051
O 3.909 -1.377 6.076
O 6.570 0.000 3.846
O 4.524 -1.377 2.685

---

8
Lattice="7.444 0.000 0.000 0.000 4.181 0.000 -2.651 0.000 7.283" Properties=species:S:1:pos:R:3 comment="TbTl2HgSe4 GGA-PBE relaxed" m_tot_mub_per_fu=0.00 total_energy_ev_per_atom=-3.686 raw_formation_energy_ev_per_atom=-0.736 pbc="T T T"
Tb 0.000 0.000 0.000
Tl -1.326 2.091 3.642
Tl 2.396 0.000 3.642
Hg 3.722 2.091 0.000
Se 1.052 2.091 1.647
Se -0.140 0.000 5.728
Se 4.932 0.000 1.555
Se 3.741 2.091 5.637

---

12
Lattice="3.970 0.000 0.000 0.000 3.970 0.000 0.000 0.000 11.886" Properties=species:S:1:pos:R:3 comment="Zn2CdPt9 GGA-PBE relaxed" formation_enthalpy_0k_mev_per_atom=-282 m_tot_mub_per_fu=0.00 total_energy_ev_per_atom=-5.101 pbc="T T T"
Zn 0.000 0.000 1.938
Zn 0.000 0.000 9.948
Cd 0.000 0.000 5.943
Pt 0.000 1.985 0.000
Pt 0.000 1.985 3.858
Pt 0.000 1.985 8.028
Pt 1.985 0.000 0.000
Pt 1.985 0.000 3.858
Pt 1.985 0.000 8.028
Pt 1.985 1.985 1.931
Pt 1.985 1.985 5.943
Pt 1.985 1.985 9.955

---

8
Lattice="2.645 1.527 8.703 -2.645 1.527 8.703 0.000 -3.055 8.703" Properties=species:S:1:pos:R:3 comment="TbPrEr2Hg4 GGA-PBE relaxed" formation_enthalpy_0k_mev_per_atom=-467 m_tot_mub_per_fu=0.78 total_energy_ev_per_atom=-2.935 pbc="T T T"
Tb 0.000 0.000 0.000
Pr 0.000 0.000 13.055
Er 0.000 0.000 6.545
Er 0.000 0.000 19.564
Hg 0.000 0.000 3.186
Hg 0.000 0.000 9.731
Hg 0.000 0.000 16.378
Hg 0.000 0.000 22.923

---

5
Lattice="6.536 0.000 0.000 0.000 6.536 0.000 0.000 0.000 5.092" Properties=species:S:1:pos:R:3 comment="Ba2NbAuI GGA-PBE relaxed" m_tot_mub_per_fu=2.89 total_energy_ev_per_atom=-3.785 raw_formation_energy_ev_per_atom=-0.037 pbc="T T T"
Ba 0.000 3.268 0.000
Ba 3.268 0.000 0.000
Nb 0.000 0.000 2.546
Au 0.000 0.000 0.000
I 3.268 3.268 2.546